Here is crystalline NdMoP2O8 at its relaxed geometry from the Alexandria database. Energies are from PBE+U.

Calculated values
* crystal system: trigonal
* total moment: 0.2500 μB per atom
* D(E_F): 0.00 states/eV per atom
* electronic total energy: -7.655 eV/atom
* space group: P-3m1 (164)

Lattice parameters (Å, degrees): 5.189 5.189 7.026 90.00 90.00 120.00
Last column: magnetic moment on the atom in μB.
Fractional coordinates of all 12 atoms:
1 P 0.333 0.667 0.718  0.01
2 P 0.667 0.333 0.282  0.01
3 O 0.830 0.660 0.212  0.01
4 O 0.333 0.667 0.500  0.00
5 O 0.660 0.830 0.788  0.01
6 O 0.667 0.333 0.500  0.00
7 O 0.830 0.170 0.212  0.01
8 O 0.170 0.830 0.788  0.01
9 O 0.170 0.340 0.788  0.01
10 O 0.340 0.170 0.212  0.01
11 Nd 0.000 0.000 0.500  0.01
12 Mo 0.000 0.000 0.000  2.74